Fe2AsPtF: optimized geometry, PBE with a Hubbard U.

Computed properties:
E_tot: -4.444 eV/atom

Cell lengths 4.923, 4.563, 4.923 Å; angles 90.00, 90.00, 90.00 degrees
Site moments in Bohr magnetons follow the coordinates.
Fractional positions:
Fe 0.500 0.000 0.000  3.71
As 0.000 0.000 0.000  -0.01
F 0.500 0.500 0.500  0.05
Fe 0.000 0.000 0.500  3.75
Pt 0.000 0.500 0.000  0.19